Compound: TaTe2W
Source: the Alexandria database
Functional: PBE-GGA
Structure: relaxed

a = 4.421 Å, b = 4.421 Å, c = 8.301 Å
α = 90.00°, β = 90.00°, γ = 90.00°
Space group I-4m2 (No. 119)
Inequivalent atoms, fractional coordinates:
Ta 0.000 0.000 0.000 [2 per cell]
Te 0.000 0.000 0.500 [2 per cell]
Te 0.000 0.500 0.750 [2 per cell]
W 0.000 0.500 0.250 [2 per cell]

Properties
ΔE_f (raw)	745	meV/atom
total magnetic moment	0.00	μB per formula unit
E_tot	-28.1	eV/f.u.